1.
The following is a PBE-GGA calculation of a relaxed structure of Nb2BrF, from the Alexandria database.

Structure (POSCAR):
```
Nb2BrF
1.0
4.066 0.000 0.000
0.000 4.066 0.000
2.033 2.033 8.546
Nb Br F
4 2 2
Cartesian
2.941 1.017 2.136
1.125 3.050 2.136
3.050 3.158 6.409
5.083 4.974 6.409
0.000 0.000 0.000
4.066 2.033 4.273
2.033 2.033 0.000
2.033 4.066 4.273
```

Values from the calculation:
energy relative to the elements, uncorrected = -0.26 eV per atom
magnetic moment = 0.00 Bohr magnetons per cell



2.
The following is a PBE-GGA calculation of a relaxed structure of TlHg6H2, from the Alexandria database.

Structure (POSCAR):
```
TlHg6H2
1.0
0.655 10.776 4.231
-6.645 -10.550 -6.056
-1.978 -13.670 1.167
Tl Hg H
2 12 4
Cartesian
-6.304 -7.974 -4.725
-1.663 -5.469 4.066
-4.121 -8.227 1.123
-1.896 -0.913 2.844
-3.845 -5.217 -1.782
-6.071 -12.531 -3.502
-6.124 -9.663 -1.925
-2.891 2.528 1.251
-1.843 -3.780 1.267
-5.075 -15.972 -1.910
-1.645 0.073 -0.164
-7.663 -18.227 -4.178
-6.322 -13.516 -0.495
-0.303 4.783 3.520
-3.479 -8.303 -0.467
-4.114 -10.997 -1.221
-4.487 -5.140 -0.191
-3.853 -2.446 0.563
```

Values from the calculation:
calculated total energy = -1.041 eV per atom
magnetic moment = 0.00 Bohr magnetons per cell



3.
The following is a PBE-GGA calculation of a relaxed structure of RbZrTc2, from the Alexandria database.

Structure (POSCAR):
```
RbZrTc2
1.0
-4.671 0.795 -1.296
-1.172 -4.551 1.431
-4.759 1.285 8.626
Rb Tc Zr
2 4 2
Cartesian
-2.922 -1.878 0.067
-4.426 -2.572 5.062
-5.212 0.412 1.260
-6.221 -1.791 1.857
-5.520 0.487 6.227
-7.750 1.297 5.449
0.000 0.000 0.000
-6.176 0.101 3.698
```

Values from the calculation:
formation energy from the elements = 1.4395 eV/atom
magnetic moment = 0.00 Bohr magnetons per cell



4.
The following is a PBE-GGA calculation of a relaxed structure of NdAl3Ga, from the Alexandria database.

Structure (POSCAR):
```
NdAl3Ga
1.0
4.016 -0.003 1.394
-0.481 3.990 1.398
0.052 0.055 6.387
Nd Al Ga
1 3 1
Cartesian
1.566 0.872 6.596
2.176 3.828 4.816
0.408 1.834 3.423
2.895 2.374 2.732
-0.308 3.293 5.499
```

Values from the calculation:
formation energy from the elements = -0.3778 eV/atom
magnetic moment = 0.00 Bohr magnetons per cell